No. 1
## Sc2PaTl (PBE-GGA)

Data for an optimized crystal structure of Sc2PaTl.

abc: 4.7227 4.7227 4.2675
angles: 90.00 90.00 90.00
Closest atoms and distances in Å follow each position.
Fractional coordinates of all 4 atoms:
Sc  0.0000  0.5000  0.0000  4 Tl 3.18, 4 Pa 3.18, 4 Sc 3.34
Sc  0.5000  0.0000  0.0000  4 Tl 3.18, 4 Pa 3.18, 4 Sc 3.34
Pa  0.0000  0.0000  0.5000  8 Sc 3.18, 4 Tl 3.34
Tl  0.5000  0.5000  0.5000  8 Sc 3.18, 4 Pa 3.34

Values from the calculation:
Magnetic moment (Bohr magnetons per cell): 0.0
Excess energy over the best structure of this formula in the dataset (eV per atom): 0.120
Symmetry: P4/mmm, No. 123
Energy of formation from the pure elements (meV/atom): 28
Uncorrected energy (eV per atom): -6.10

***

No. 2
## Sc2PaTl (PBE-GGA)

Data for an optimized crystal structure of Sc2PaTl.

abc: 11.3071 11.3071 11.3071
angles: 16.19 16.19 16.19
Closest atoms and distances in Å follow each position.
Fractional coordinates of all 4 atoms:
Sc  0.0904  0.0904  0.0904  1 Pa 3.02, 3 Tl 3.15, 6 Sc 3.18
Sc  0.9096  0.9096  0.9096  1 Pa 3.02, 3 Tl 3.15, 6 Sc 3.18
Pa  0.0000  0.0000  0.0000  2 Sc 3.02, 6 Pa 3.18
Tl  0.5000  0.5000  0.5000  6 Sc 3.15, 6 Tl 3.18

Values from the calculation:
Magnetic moment (Bohr magnetons per cell): 0.0
Excess energy over the best structure of this formula in the dataset (eV per atom): 0.257
Symmetry: R-3m, No. 166
Energy of formation from the pure elements (meV/atom): 165
Uncorrected energy (eV per atom): -5.97

***

No. 3
## Sc2PaTl (PBE-GGA)

Data for an optimized crystal structure of Sc2PaTl.

abc: 5.1070 5.1070 5.1070
angles: 60.00 60.00 60.00
Closest atoms and distances in Å follow each position.
Fractional coordinates of all 4 atoms:
Sc  0.2500  0.2500  0.2500  4 Tl 3.13, 4 Pa 3.13
Sc  0.7500  0.7500  0.7500  4 Pa 3.13, 4 Tl 3.13
Pa  0.0000  0.0000  0.0000  8 Sc 3.13
Tl  0.5000  0.5000  0.5000  8 Sc 3.13

Values from the calculation:
Magnetic moment (Bohr magnetons per cell): 1.7
Excess energy over the best structure of this formula in the dataset (eV per atom): 0.258
Symmetry: Fm-3m, No. 225
Energy of formation from the pure elements (meV/atom): 166
Uncorrected energy (eV per atom): -5.96

***

No. 4
## Tm2Sc4Pa (PBE-GGA)

Data for an optimized crystal structure of Tm2Sc4Pa.

abc: 3.3280 3.3280 18.9484
angles: 95.08 95.08 60.05
Closest atoms and distances in Å follow each position.
Fractional coordinates of all 7 atoms:
Tm  0.0000  0.0000  0.0000  6 Tm 3.33, 6 Sc 3.33-3.35
Tm  0.0971  0.0971  0.2893  6 Tm 3.33, 6 Sc 3.33-3.39
Sc  0.2808  0.2808  0.8548  9 Sc 3.23-3.33, 3 Tm 3.33-3.35
Sc  0.3821  0.3821  0.1448  6 Sc 3.33, 6 Tm 3.33-3.34
Sc  0.8114  0.8114  0.4371  3 Pa 3.25-3.27, 6 Sc 3.33, 3 Tm 3.38-3.39
Sc  0.9011  0.9011  0.7174  9 Sc 3.23-3.33, 3 Pa 3.27
Pa  0.1869  0.1869  0.5770  6 Sc 3.25-3.27, 6 Pa 3.33

Values from the calculation:
Magnetic moment (Bohr magnetons per cell): 0.6
Symmetry: Cm, No. 8
Energy of formation from the pure elements (meV/atom): 46
Uncorrected energy (eV per atom): -6.21